[1]
## Li7Ac3Tl4 (PBE-GGA)

Data for a relaxed structure of Li7Ac3Tl4.

Cell lengths 5.1009, 9.2931, 9.2357 Å; angles 61.71, 73.97, 74.07 degrees
Fractional positions:
Li: 0.8599 0.3386 0.9416
Li: 0.5054 0.1729 0.8163
Li: 0.6618 0.1863 0.4902
Li: 0.1401 0.6614 0.0584
Li: 0.3382 0.8137 0.5098
Li: 0.0000 0.0000 0.0000
Li: 0.4946 0.8271 0.1837
Ac: 0.0000 0.5000 0.5000
Ac: 0.7227 0.7781 0.7766
Ac: 0.2773 0.2219 0.2234
Tl: 0.6491 0.5003 0.2015
Tl: 0.8675 0.9325 0.3325
Tl: 0.3509 0.4997 0.7985
Tl: 0.1325 0.0675 0.6675

Values from the calculation:
Magnetization, μB per atom: 0.00
VASP energy, eV/atom: -2.752

[2]
## MgTi2Mn2 (PBE-GGA)

Data for a relaxed structure of MgTi2Mn2.

Cell lengths 7.1555, 7.1555, 3.0496 Å; angles 90.00, 90.00, 90.00 degrees
Last column: magnetic moment on the atom in μB.
Fractional positions:
Ti: 0.8479 0.3479 0.5000  -0.62
Ti: 0.3479 0.1521 0.5000  -0.62
Ti: 0.1521 0.6521 0.5000  -0.62
Ti: 0.6521 0.8479 0.5000  -0.62
Mg: 0.0000 0.0000 0.0000  -0.01
Mg: 0.5000 0.5000 0.0000  -0.01
Mn: 0.1365 0.3635 0.0000  2.07
Mn: 0.8635 0.6365 0.0000  2.07
Mn: 0.6365 0.1365 0.0000  2.07
Mn: 0.3635 0.8635 0.0000  2.07

Values from the calculation:
Excess energy over the best structure of this formula in the dataset, eV per formula unit: 0.00
Magnetization, μB per atom: 0.53